LiBeSi after structural relaxation. Source: the Alexandria database, functional GGA-PBE.

For the raw formation energy, the calculation gives 0.2390 eV per atom. The calculation puts the total magnetic moment at 0.000 μB/cell. The density of states at the Fermi level comes out at 0.251 states/eV/atom.

a = 2.6696 Å, b = 2.6696 Å, c = 6.1188 Å
α = 90.00°, β = 90.00°, γ = 120.00°
Space group P3m1 (No. 156)
Asymmetric unit:
Li: 0.0000 0.0000 0.0000 x1
Be: 0.3333 0.6667 0.6496 x1
Si: 0.6667 0.3333 0.3522 x1